Entry 1:
LiHoPS4: optimized geometry, PBE-GGA.

```
data_LiHoPS4
_space_group_name_H-M_alt 'I m m a'
_space_group_IT_number 74
_space_group_name_Hall '-I 2b 2'
_cell_length_a 7.4029
_cell_length_b 7.6159
_cell_length_c 10.3246
_cell_angle_alpha 90.00
_cell_angle_beta 90.00
_cell_angle_gamma 90.00
loop_
_atom_site_label
_atom_site_fract_x
_atom_site_fract_y
_atom_site_fract_z
_atom_site_occupancy
Li1 0.2500 0.2500 0.2500 1
Ho1 0.0000 0.0000 0.0000 1
P1 0.0000 0.2500 0.6311 1
S1 0.0000 0.0152 0.7362 1
S2 0.2409 0.2500 0.4981 1
```

DOS at the Fermi energy, states/eV per cell: 7.75
Formation energy without anion corrections, meV per atom: -927.2
Calculated volume, Å³/cell: 582
Total energy, eV per cell: -139.606



Entry 2:
HfBN2: optimized geometry, PBE-GGA.

```
data_HfBN2
_space_group_name_H-M_alt 'I -4 2 d'
_space_group_IT_number 122
_space_group_name_Hall 'I -4 2bw'
_cell_length_a 4.9497
_cell_length_b 4.9497
_cell_length_c 5.8019
_cell_angle_alpha 90.00
_cell_angle_beta 90.00
_cell_angle_gamma 90.00
loop_
_atom_site_label
_atom_site_fract_x
_atom_site_fract_y
_atom_site_fract_z
_atom_site_occupancy
Hf1 0.0000 0.0000 0.0000 1
B1 0.0000 0.0000 0.5000 1
N1 0.1433 0.7500 0.6250 1
```

DOS at the Fermi energy, states/eV per cell: 1.04
Formation energy without anion corrections, meV per atom: -794.6
Calculated volume, Å³/cell: 142
Total energy, eV per cell: -145.841



Entry 3:
AlHgMo2: optimized geometry, PBE-GGA.

```
data_AlHgMo2
_space_group_name_H-M_alt 'C m m m'
_space_group_IT_number 65
_space_group_name_Hall '-C 2 2'
_cell_length_a 3.4584
_cell_length_b 4.3386
_cell_length_c 8.9183
_cell_angle_alpha 90.00
_cell_angle_beta 90.00
_cell_angle_gamma 90.00
loop_
_atom_site_label
_atom_site_fract_x
_atom_site_fract_y
_atom_site_fract_z
_atom_site_occupancy
Al1 0.0000 0.0000 0.0000 1
Hg1 0.0000 0.0000 0.5000 1
Mo1 0.0000 0.5000 0.2313 1
```

Formation energy, eV per atom: 0.24
DOS at the Fermi energy, states/eV per cell: 3.03
Calculated volume, Å³/cell: 134
Total energy, eV per cell: -49.494



Entry 4:
TaRhAu2: optimized geometry, PBE-GGA.

```
data_TaRhAu2
_space_group_name_H-M_alt 'F -4 3 m'
_space_group_IT_number 216
_space_group_name_Hall 'F -4 2 3'
_cell_length_a 6.4666
_cell_length_b 6.4666
_cell_length_c 6.4666
_cell_angle_alpha 90.00
_cell_angle_beta 90.00
_cell_angle_gamma 90.00
loop_
_atom_site_label
_atom_site_fract_x
_atom_site_fract_y
_atom_site_fract_z
_atom_site_occupancy
Ta1 0.0000 0.0000 0.0000 1
Rh1 0.2500 0.2500 0.7500 1
Au1 0.0000 0.0000 0.5000 1
Au2 0.2500 0.2500 0.2500 1
```

Formation energy, eV per atom: -0.04
DOS at the Fermi energy, states/eV per cell: 16.26
Calculated volume, Å³/cell: 270
Total energy, eV per cell: -103.723



Entry 5:
Cu2Cl3: optimized geometry, PBE-GGA.

```
data_Cu2Cl3
_space_group_name_H-M_alt 'C 1 c 1'
_space_group_IT_number 9
_cell_length_a 6.6330
_cell_length_b 11.5165
_cell_length_c 6.5052
_cell_angle_alpha 90.00
_cell_angle_beta 109.62
_cell_angle_gamma 90.00
loop_
_space_group_symop_operation_xyz
'x,y,z'
'x,-y,z+1/2'
'x+1/2,y+1/2,z'
'x+1/2,-y+1/2,z+1/2'
loop_
_atom_site_label
_atom_site_fract_x
_atom_site_fract_y
_atom_site_fract_z
_atom_site_occupancy
Cu1 0.0000 0.0811 0.0000 1
Cu2 0.4720 0.2445 0.9911 1
Cl1 0.3451 0.2627 0.6183 1
Cl2 0.3570 0.0921 0.1304 1
Cl3 0.3764 0.4173 0.1237 1
```

DOS at the Fermi energy, states/eV per cell: 27.55
Formation energy without anion corrections, meV per atom: -505.7
Calculated volume, Å³/cell: 468
Total energy, eV per cell: -65.042



Entry 6:
NbInO4: optimized geometry, PBE-GGA.

```
data_NbInO4
_space_group_name_H-M_alt 'P 1 2/c 1'
_space_group_IT_number 13
_cell_length_a 4.9189
_cell_length_b 5.8977
_cell_length_c 5.2234
_cell_angle_alpha 90.00
_cell_angle_beta 90.93
_cell_angle_gamma 90.00
loop_
_space_group_symop_operation_xyz
'x,y,z'
'-x,-y,-z'
'-x,y,-z+1/2'
'x,-y,z+1/2'
loop_
_atom_site_label
_atom_site_fract_x
_atom_site_fract_y
_atom_site_fract_z
_atom_site_occupancy
Nb1 0.0000 0.1784 0.2500 1
In1 0.5000 0.3193 0.7500 1
O1 0.2144 0.1030 0.9372 1
O2 0.2603 0.3808 0.4018 1
```

DOS at the Fermi energy, states/eV per cell: 0.00
Formation energy without anion corrections, meV per atom: -2166.3
Calculated volume, Å³/cell: 152
Total energy, eV per cell: -91.277



Entry 7:
TcNi2: optimized geometry, PBE-GGA.

```
data_TcNi2
_space_group_name_H-M_alt 'C 1 m 1'
_space_group_IT_number 8
_cell_length_a 9.4696
_cell_length_b 2.6249
_cell_length_c 6.0793
_cell_angle_alpha 90.00
_cell_angle_beta 104.62
_cell_angle_gamma 90.00
loop_
_space_group_symop_operation_xyz
'x,y,z'
'x,-y,z'
'x+1/2,y+1/2,z'
'x+1/2,-y+1/2,z'
loop_
_atom_site_label
_atom_site_fract_x
_atom_site_fract_y
_atom_site_fract_z
_atom_site_occupancy
Tc1 0.0000 0.0000 0.0000 1
Tc2 0.1693 0.5000 0.3416 1
Ni1 0.1170 0.5000 0.7305 1
Ni2 0.2792 0.0000 0.0580 1
Ni3 0.3367 0.0000 0.6696 1
Ni4 0.4468 0.5000 0.3961 1
```

Formation energy, eV per atom: 0.06
DOS at the Fermi energy, states/eV per cell: 14.79
Calculated volume, Å³/cell: 146
Total energy, eV per cell: -86.995



Entry 8:
ScAg3Br6: optimized geometry, PBE-GGA.

```
data_ScAg3Br6
_space_group_name_H-M_alt 'P 1 21/c 1'
_space_group_IT_number 14
_cell_length_a 7.1920
_cell_length_b 7.0772
_cell_length_c 12.8838
_cell_angle_alpha 90.00
_cell_angle_beta 121.91
_cell_angle_gamma 90.00
loop_
_space_group_symop_operation_xyz
'x,y,z'
'-x,-y,-z'
'-x,y+1/2,-z+1/2'
'x,-y+1/2,z+1/2'
loop_
_atom_site_label
_atom_site_fract_x
_atom_site_fract_y
_atom_site_fract_z
_atom_site_occupancy
Sc1 0.0000 0.0000 0.0000 1
Ag1 0.2795 0.0244 0.7589 1
Ag2 0.5000 0.0000 0.5000 1
Br1 0.0679 0.1842 0.4159 1
Br2 0.2704 0.6702 0.4453 1
Br3 0.3374 0.0986 0.2269 1
```

DOS at the Fermi energy, states/eV per cell: 0.00
Formation energy without anion corrections, meV per atom: -832.7
Calculated volume, Å³/cell: 557
Total energy, eV per cell: -66.499



Entry 9:
KHgH2Pd: optimized geometry, PBE-GGA.

```
data_KHgH2Pd
_space_group_name_H-M_alt 'C m c m'
_space_group_IT_number 63
_space_group_name_Hall '-C 2c 2'
_cell_length_a 4.1158
_cell_length_b 12.3124
_cell_length_c 7.2166
_cell_angle_alpha 90.00
_cell_angle_beta 90.00
_cell_angle_gamma 90.00
loop_
_atom_site_label
_atom_site_fract_x
_atom_site_fract_y
_atom_site_fract_z
_atom_site_occupancy
K1 0.0000 0.2299 0.2500 1
Hg1 0.0000 0.0308 0.7500 1
H1 0.0000 0.3660 0.5387 1
Pd1 0.0000 0.5000 0.0000 1
```

DOS at the Fermi energy, states/eV per cell: 5.16
Calculated volume, Å³/cell: 366
Total energy, eV per cell: -57.021



Entry 10:
LiZnRu2C: optimized geometry, PBE-GGA.

```
data_LiZnRu2C
_space_group_name_H-M_alt 'P 4/m m m'
_space_group_IT_number 123
_space_group_name_Hall '-P 4 2'
_cell_length_a 3.9782
_cell_length_b 3.9782
_cell_length_c 4.0066
_cell_angle_alpha 90.00
_cell_angle_beta 90.00
_cell_angle_gamma 90.00
loop_
_atom_site_label
_atom_site_fract_x
_atom_site_fract_y
_atom_site_fract_z
_atom_site_occupancy
Li1 0.0000 0.0000 0.0000 1
Zn1 0.5000 0.5000 0.0000 1
Ru1 0.0000 0.5000 0.5000 1
C1 0.0000 0.0000 0.5000 1
```

Formation energy, eV per atom: 0.07
DOS at the Fermi energy, states/eV per cell: 4.56
Calculated volume, Å³/cell: 63
Total energy, eV per cell: -30.602



Entry 11:
TmLuAlSn: optimized geometry, PBE-GGA.

```
data_TmLuAlSn
_space_group_name_H-M_alt 'F -4 3 m'
_space_group_IT_number 216
_space_group_name_Hall 'F -4 2 3'
_cell_length_a 7.2927
_cell_length_b 7.2927
_cell_length_c 7.2927
_cell_angle_alpha 90.00
_cell_angle_beta 90.00
_cell_angle_gamma 90.00
loop_
_atom_site_label
_atom_site_fract_x
_atom_site_fract_y
_atom_site_fract_z
_atom_site_occupancy
Tm1 0.0000 0.0000 0.0000 1
Lu1 0.0000 0.0000 0.5000 1
Al1 0.2500 0.2500 0.7500 1
Sn1 0.2500 0.2500 0.2500 1
```

Formation energy, eV per atom: -0.40
DOS at the Fermi energy, states/eV per cell: 12.77
Calculated volume, Å³/cell: 388
Total energy, eV per cell: -73.343



Entry 12:
LaSm5Y12: optimized geometry, PBE-GGA.

```
data_LaSm5Y12
_space_group_name_H-M_alt 'P 1 2/m 1'
_space_group_IT_number 10
_cell_length_a 10.7862
_cell_length_b 5.0920
_cell_length_c 10.7976
_cell_angle_alpha 90.00
_cell_angle_beta 90.12
_cell_angle_gamma 90.00
loop_
_space_group_symop_operation_xyz
'x,y,z'
'-x,-y,-z'
'-x,y,-z'
'x,-y,z'
loop_
_atom_site_label
_atom_site_fract_x
_atom_site_fract_y
_atom_site_fract_z
_atom_site_occupancy
La1 0.0000 0.0000 0.0000 1
Sm1 0.1682 0.5000 0.8317 1
Sm2 0.3335 0.0000 0.6665 1
Sm3 0.5000 0.5000 0.5000 1
Y1 0.0000 0.0000 0.3352 1
Y2 0.1672 0.5000 0.4997 1
Y3 0.1681 0.5000 0.1680 1
Y4 0.3330 0.0000 0.3331 1
Y5 0.3353 0.0000 0.9999 1
Y6 0.4996 0.5000 0.1672 1
```

Formation energy, eV per atom: 0.02
DOS at the Fermi energy, states/eV per cell: 28.02
Calculated volume, Å³/cell: 593
Total energy, eV per cell: -105.683



Entry 13:
TbPr6In5: optimized geometry, PBE-GGA.

```
data_TbPr6In5
_space_group_name_H-M_alt 'I m m m'
_space_group_IT_number 71
_space_group_name_Hall '-I 2 2'
_cell_length_a 5.1079
_cell_length_b 9.1873
_cell_length_c 15.4356
_cell_angle_alpha 90.00
_cell_angle_beta 90.00
_cell_angle_gamma 90.00
loop_
_atom_site_label
_atom_site_fract_x
_atom_site_fract_y
_atom_site_fract_z
_atom_site_occupancy
Tb1 0.0000 0.0000 0.0000 1
Pr1 0.0000 0.2336 0.5000 1
Pr2 0.0000 0.2607 0.1709 1
In1 0.0000 0.0000 0.3275 1
In2 0.0000 0.5000 0.0000 1
In3 0.0000 0.5000 0.3472 1
```

Formation energy, eV per atom: -0.39
DOS at the Fermi energy, states/eV per cell: 23.17
Calculated volume, Å³/cell: 724
Total energy, eV per cell: -103.415



Entry 14:
ScInGaOs: optimized geometry, PBE-GGA.

```
data_ScInGaOs
_space_group_name_H-M_alt 'F -4 3 m'
_space_group_IT_number 216
_space_group_name_Hall 'F -4 2 3'
_cell_length_a 6.5057
_cell_length_b 6.5057
_cell_length_c 6.5057
_cell_angle_alpha 90.00
_cell_angle_beta 90.00
_cell_angle_gamma 90.00
loop_
_atom_site_label
_atom_site_fract_x
_atom_site_fract_y
_atom_site_fract_z
_atom_site_occupancy
Sc1 0.0000 0.0000 0.0000 1
In1 0.2500 0.2500 0.7500 1
Ga1 0.2500 0.2500 0.2500 1
Os1 0.0000 0.0000 0.5000 1
```

Formation energy, eV per atom: -0.18
DOS at the Fermi energy, states/eV per cell: 7.76
Calculated volume, Å³/cell: 275
Total energy, eV per cell: -96.128



Entry 15:
Dy2NpC: optimized geometry, PBE-GGA.

```
data_Dy2NpC
_space_group_name_H-M_alt 'R -3 m'
_space_group_IT_number 166
_space_group_name_Hall '-R 3 2"'
_cell_length_a 3.4469
_cell_length_b 3.4469
_cell_length_c 29.1349
_cell_angle_alpha 90.00
_cell_angle_beta 90.00
_cell_angle_gamma 120.00
loop_
_atom_site_label
_atom_site_fract_x
_atom_site_fract_y
_atom_site_fract_z
_atom_site_occupancy
Dy1 0.0000 0.0000 0.1194 1
Np1 0.0000 0.0000 0.0000 1
C1 0.0000 0.0000 0.5000 1
```

Formation energy, eV per atom: 0.25
DOS at the Fermi energy, states/eV per cell: 26.60
Calculated volume, Å³/cell: 300
Total energy, eV per cell: -91.117



Entry 16:
Tl2BH4: optimized geometry, PBE-GGA.

```
data_Tl2BH4
_space_group_name_H-M_alt 'P 1 21/m 1'
_space_group_IT_number 11
_cell_length_a 6.7789
_cell_length_b 5.3637
_cell_length_c 6.8024
_cell_angle_alpha 90.00
_cell_angle_beta 118.04
_cell_angle_gamma 90.00
loop_
_space_group_symop_operation_xyz
'x,y,z'
'-x,-y,-z'
'-x,y+1/2,-z'
'x,-y+1/2,z'
loop_
_atom_site_label
_atom_site_fract_x
_atom_site_fract_y
_atom_site_fract_z
_atom_site_occupancy
Tl1 0.0152 0.2500 0.1964 1
Tl2 0.3986 0.7500 0.3451 1
B1 0.2139 0.2500 0.7681 1
H1 0.0154 0.2500 0.6256 1
H2 0.2382 0.2500 0.9596 1
H3 0.3041 0.0590 0.7456 1
```

DOS at the Fermi energy, states/eV per cell: 1.18
Calculated volume, Å³/cell: 218
Total energy, eV per cell: -49.498



Entry 17:
Nd4TlCd2In: optimized geometry, PBE-GGA.

```
data_Nd4TlCd2In
_space_group_name_H-M_alt 'R -3 m'
_space_group_IT_number 166
_space_group_name_Hall '-R 3 2"'
_cell_length_a 5.4869
_cell_length_b 5.4869
_cell_length_c 26.8813
_cell_angle_alpha 90.00
_cell_angle_beta 90.00
_cell_angle_gamma 120.00
loop_
_atom_site_label
_atom_site_fract_x
_atom_site_fract_y
_atom_site_fract_z
_atom_site_occupancy
Nd1 0.0000 0.0000 0.1247 1
Nd2 0.0000 0.0000 0.3746 1
Tl1 0.0000 0.0000 0.5000 1
Cd1 0.0000 0.0000 0.2508 1
In1 0.0000 0.0000 0.0000 1
```

Formation energy, eV per atom: -0.39
DOS at the Fermi energy, states/eV per cell: 32.38
Calculated volume, Å³/cell: 701
Total energy, eV per cell: -87.359



Entry 18:
LaPaFe: optimized geometry, PBE-GGA.

```
data_LaPaFe
_space_group_name_H-M_alt 'P -6 m 2'
_space_group_IT_number 187
_space_group_name_Hall 'P -6 2'
_cell_length_a 4.1099
_cell_length_b 4.1099
_cell_length_c 5.2300
_cell_angle_alpha 90.00
_cell_angle_beta 90.00
_cell_angle_gamma 120.00
loop_
_atom_site_label
_atom_site_fract_x
_atom_site_fract_y
_atom_site_fract_z
_atom_site_occupancy
La1 0.0000 0.0000 0.0000 1
Pa1 0.6667 0.3333 0.5000 1
Fe1 0.3333 0.6667 0.5000 1
```

Formation energy, eV per atom: 0.01
DOS at the Fermi energy, states/eV per cell: 4.53
Calculated volume, Å³/cell: 77
Total energy, eV per cell: -22.858



Entry 19:
Cr2Co: optimized geometry, PBE-GGA.

```
data_Cr2Co
_space_group_name_H-M_alt 'P -3 m 1'
_space_group_IT_number 164
_space_group_name_Hall '-P 3 2"'
_cell_length_a 4.0397
_cell_length_b 4.0397
_cell_length_c 2.4228
_cell_angle_alpha 90.00
_cell_angle_beta 90.00
_cell_angle_gamma 120.00
loop_
_atom_site_label
_atom_site_fract_x
_atom_site_fract_y
_atom_site_fract_z
_atom_site_occupancy
Cr1 0.3333 0.6667 0.3531 1
Co1 0.0000 0.0000 0.0000 1
```

Formation energy, eV per atom: 0.14
DOS at the Fermi energy, states/eV per cell: 3.16
Calculated volume, Å³/cell: 34
Total energy, eV per cell: -25.946



Entry 20:
Nd2YCd4: optimized geometry, PBE-GGA.

```
data_Nd2YCd4
_space_group_name_H-M_alt 'I 4/m m m'
_space_group_IT_number 139
_space_group_name_Hall '-I 4 2'
_cell_length_a 5.6405
_cell_length_b 5.6405
_cell_length_c 15.9515
_cell_angle_alpha 90.00
_cell_angle_beta 90.00
_cell_angle_gamma 90.00
loop_
_atom_site_label
_atom_site_fract_x
_atom_site_fract_y
_atom_site_fract_z
_atom_site_occupancy
Nd1 0.0000 0.0000 0.1065 1
Y1 0.0000 0.0000 0.5000 1
Cd1 0.0000 0.0000 0.3094 1
Cd2 0.0000 0.5000 0.0000 1
```

Formation energy, eV per atom: 0.22
DOS at the Fermi energy, states/eV per cell: 14.76
Calculated volume, Å³/cell: 508
Total energy, eV per cell: -36.219